Record 1
{"formula": "La6AsP2S3", "functional": "GGA-PBE", "state": "optimized geometry", "dft_energy_ev_per_atom": -6.700, "space_group": "No. 12", "vol_a3_per_fu": 323, "dos_ef_per_ev_fu": 4.75, "total_magnetization_mub_per_cell": 0.0, "cell": [[-1.0605, -3.9045, 1.2811], [-2.1053, -2.0321, -7.9366], [9.4670, -0.3298, -0.1978]], "species": ["La", "La", "La", "La", "La", "La", "As", "P", "P", "S", "S", "S"], "frac_coords": [[0.3320, 0.9113, 0.6641], [0.6682, 0.5800, 0.3364], [0.6680, 0.0887, 0.3359], [0.0017, 0.2537, 0.0033], [0.9983, 0.7463, 0.9967], [0.3318, 0.4200, 0.6636], [0.5000, 0.0000, 0.0000], [0.8331, 0.6665, 0.6661], [0.1669, 0.3335, 0.3339], [0.5000, 0.5000, 0.0000], [0.8340, 0.1668, 0.6680], [0.1660, 0.8332, 0.3320]]}

Record 2
{"formula": "La4Sb2AsP", "functional": "GGA-PBE", "state": "optimized geometry", "dft_energy_ev_per_atom": -6.156, "space_group": "No. 10", "vol_a3_per_fu": 254, "dos_ef_per_ev_fu": 1.14, "total_magnetization_mub_per_cell": 0.0, "cell": [[4.4613, 0.0000, 0.0000], [0.0000, 7.7952, -0.1816], [0.0000, 2.7166, 7.2305]], "species": ["La", "La", "La", "La", "Sb", "Sb", "As", "P"], "frac_coords": [[0.0000, 0.7327, 0.7526], [0.0000, 0.2674, 0.2474], [0.5000, 0.7309, 0.2592], [0.5000, 0.2691, 0.7408], [0.0000, 0.0000, 0.0000], [0.5000, 0.0000, 0.5000], [0.5000, 0.5000, 0.0000], [0.0000, 0.5000, 0.5000]]}

> What is the formula in the first record?

La6AsP2S3